First-principles (GGA-PBE) data for an optimized crystal structure of SrAgSb, as listed in Alexandria via LeMat-Bulk.

Cell lengths 7.0430, 7.0426, 7.0427 Å; angles 89.99, 90.00, 90.02 degrees
Fractional coordinates of all 12 atoms:
Sr: 0.0712 0.9871 0.2371
Sb: 0.5522 0.4683 0.7183
Sr: 0.0710 0.4297 0.6796
Sr: 0.5133 0.4296 0.2371
Sb: 0.0323 0.4682 0.1985
Ag: 0.7925 0.7082 0.9583
Sr: 0.5135 0.9870 0.6796
Ag: 0.2922 0.7083 0.9583
Sb: 0.5523 0.9484 0.1984
Ag: 0.7923 0.7083 0.4581
Ag: 0.7923 0.2083 0.9584
Sb: 0.0323 0.9485 0.7182

Properties
Symmetry = No. 215
D(E_F) = 0.043 states/eV per atom
Uncorrected formation energy = -0.667 eV/atom